# 1
## Tb3NbRu4 (PBE)

Data for an optimized crystal structure of Tb3NbRu4.

## Properties
Volume   18.857 Å³/atom
DFT total energy   -0.584 Ry per atom

Cell: 3.323 3.323 13.662 Å, 90.00 90.00 90.00°
Fractional positions:
1 Ru 0.000 0.000 0.892
2 Ru 0.000 0.000 0.108
3 Ru 0.000 0.000 0.371
4 Ru 0.000 0.000 0.629
5 Nb 0.500 0.500 0.000
6 Tb 0.500 0.500 0.248
7 Tb 0.500 0.500 0.500
8 Tb 0.500 0.500 0.752

***

# 2
## Tb2NbRu (PBE)

Data for an optimized crystal structure of Tb2NbRu.

## Properties
Volume   22.919 Å³/atom
DFT total energy   -0.490 Ry per atom

Cell: 3.218 3.218 10.390 Å, 81.09 81.09 60.00°
Site moments in Bohr magnetons follow the coordinates.
Fractional positions:
1 Ru 0.500 0.500 0.500  0.08
2 Nb 0.000 0.000 0.000  0.61
3 Tb 0.098 0.098 0.707  0.06
4 Tb 0.902 0.902 0.293  0.06

***

# 3
## Tb5NbRu6 (PBE)

Data for an optimized crystal structure of Tb5NbRu6.

## Properties
Volume   19.206 Å³/atom
DFT total energy   -0.567 Ry per atom

Cell: 4.776 6.782 8.234 Å, 65.68 73.19 90.00°
Fractional positions:
1 Ru 0.843 0.606 0.313
2 Ru 0.843 0.081 0.313
3 Ru 0.500 0.771 0.000
4 Ru 0.500 0.229 0.000
5 Ru 0.157 0.919 0.687
6 Ru 0.157 0.394 0.687
7 Nb 0.000 0.000 0.000
8 Tb 0.668 0.167 0.665
9 Tb 0.335 0.335 0.331
10 Tb 0.000 0.500 0.000
11 Tb 0.665 0.665 0.669
12 Tb 0.332 0.833 0.335

***

# 4
## Nb2TcRu8 (PBE)

Data for an optimized crystal structure of Nb2TcRu8.

## Properties
Volume   15.101 Å³/atom
DFT total energy   -0.694 Ry per atom

Cell: 5.121 4.874 8.525 Å, 122.54 68.31 97.80°
Fractional positions:
1 Nb 0.355 0.263 0.197
2 Nb 0.645 0.737 0.803
3 Tc 0.000 0.000 0.000
4 Ru 0.609 0.848 0.223
5 Ru 0.820 0.152 0.502
6 Ru 0.133 0.666 0.129
7 Ru 0.867 0.334 0.871
8 Ru 0.180 0.848 0.498
9 Ru 0.391 0.152 0.777
10 Ru 0.250 0.469 0.613
11 Ru 0.750 0.531 0.387

***

# 5
## Nb4TcRu (PBE)

Data for an optimized crystal structure of Nb4TcRu.

## Properties
Volume   19.663 Å³/atom
DFT total energy   -0.713 Ry per atom

Cell: 4.358 4.359 6.211 Å, 89.97 89.97 90.00°
Fractional positions:
1 Nb 0.501 0.997 0.249
2 Nb 0.501 0.998 0.748
3 Nb 0.001 0.497 0.748
4 Nb 0.001 0.497 0.249
5 Tc 0.001 0.997 0.498
6 Ru 0.501 0.497 0.998

***

# 6
## NbTc2Ru2 (PBE)

Data for an optimized crystal structure of NbTc2Ru2.

## Properties
Volume   15.474 Å³/atom
DFT total energy   -0.722 Ry per atom

Cell: 7.459 7.459 2.781 Å, 90.00 90.00 90.00°
Fractional positions:
1 Ru 0.172 0.672 0.500
2 Ru 0.672 0.828 0.500
3 Ru 0.828 0.328 0.500
4 Ru 0.328 0.172 0.500
5 Nb 0.000 0.000 0.000
6 Nb 0.500 0.500 0.000
7 Tc 0.377 0.877 0.000
8 Tc 0.877 0.623 0.000
9 Tc 0.623 0.123 0.000
10 Tc 0.123 0.377 0.000

***

no.,ΔH_f (0 K) (meV per atom)
1,-312
2,485
3,-310
4,79
5,289
6,52